MnInI2O | GGA+U | relaxed

POSCAR file:
```
MnInI2O
1.0
6.0937 0.0000 0.0000
0.0000 6.0937 0.0000
0.0000 0.0000 3.9958
I Mn O In
2 1 1 1
direct
0.0000 0.5000 0.0000 I
0.5000 0.0000 0.0000 I
0.5000 0.5000 0.5000 Mn
0.0000 0.0000 0.5000 O
0.0000 0.0000 0.0000 In
```

Calculated values
Space group: P4/mmm
Polymorph energy (0 for the lowest one) (meV/atom): 330.0
Size of the total moment (μB per formula unit): 5.777